Entry 1:
Computed, not measured: BaSi2SnI after structural relaxation at the PBE level of DFT.

- mass density (Mg/m³) = 4.15
- E_form (uncorrected) (eV/atom) = 0.69
- symmetry = P4/mmm (123)
- total moment (μB/f.u.) = 0.000

Lattice parameters (Å, degrees): 5.4785 5.4785 5.8483 90.00 90.00 90.00
Closest atoms and distances in Å follow each position.
Fractional positions:
Ba: 0.0000 0.0000 0.0000  4 Sn 3.87, 8 Si 4.01
Si: 0.0000 0.5000 0.5000  2 I 2.74
Si: 0.5000 0.0000 0.5000  2 I 2.74
Sn: 0.5000 0.5000 0.0000  2 I 2.92
I: 0.5000 0.5000 0.5000  4 Si 2.74, 2 Sn 2.92

Entry 2:
Computed, not measured: Tb3NdSm2Er6 after structural relaxation at the PBE level of DFT.

- calculated formation energy (kJ/mol of formula units) = 20
- mass density (Mg/m³) = 8.42
- symmetry = C2/m (12)
- total moment (μB/f.u.) = 0.001

Lattice parameters (Å, degrees): 6.1617 6.1617 11.7244 95.01 95.01 119.97
Closest atoms and distances in Å follow each position.
Fractional positions:
Tb: 0.0000 0.0000 0.0000  6 Er 3.52, 6 Tb 3.56
Tb: 0.3333 0.6667 0.0000  6 Er 3.52, 6 Tb 3.56
Tb: 0.6667 0.3333 0.0000  6 Er 3.52, 6 Tb 3.56
Nd: 0.5000 0.5000 0.5000  6 Sm 3.56, 6 Er 3.56-3.57
Sm: 0.1666 0.8334 0.5000  3 Sm 3.56, 3 Nd 3.56, 6 Er 3.56
Sm: 0.8334 0.1666 0.5000  3 Sm 3.56, 3 Nd 3.56, 6 Er 3.56
Er: 0.0818 0.4154 0.2478  3 Tb 3.52, 6 Er 3.56, 2 Sm 3.56, 1 Nd 3.57
Er: 0.2511 0.2511 0.7522  3 Tb 3.52, 6 Er 3.56, 1 Nd 3.56, 2 Sm 3.56
Er: 0.4154 0.0818 0.2478  3 Tb 3.52, 6 Er 3.56, 2 Sm 3.56, 1 Nd 3.57
Er: 0.5846 0.9182 0.7522  3 Tb 3.52, 6 Er 3.56, 2 Sm 3.56, 1 Nd 3.57
Er: 0.7489 0.7489 0.2478  3 Tb 3.52, 6 Er 3.56, 1 Nd 3.56, 2 Sm 3.56
Er: 0.9182 0.5846 0.7522  3 Tb 3.52, 6 Er 3.56, 2 Sm 3.56, 1 Nd 3.57

Entry 3:
Computed, not measured: Er2SnRu after structural relaxation at the PBE level of DFT.

- calculated formation energy (kJ/mol of formula units) = -168
- mass density (Mg/m³) = 10.25
- polymorph energy (0 for the lowest one) (meV/atom) = 147
- symmetry = Fm-3m (225)
- total moment (μB/f.u.) = 0.000

Lattice parameters (Å, degrees): 5.0264 5.0264 5.0264 60.00 60.00 60.00
Closest atoms and distances in Å follow each position.
Fractional positions:
Er: 0.2500 0.2500 0.2500  4 Ru 3.08, 4 Sn 3.08
Er: 0.7500 0.7500 0.7500  4 Ru 3.08, 4 Sn 3.08
Sn: 0.0000 0.0000 0.0000  8 Er 3.08
Ru: 0.5000 0.5000 0.5000  8 Er 3.08

Entry 4:
Computed, not measured: Sc5ZnAg after structural relaxation at the PBE level of DFT.

- calculated formation energy (kJ/mol of formula units) = 1
- mass density (Mg/m³) = 4.16
- symmetry = C2/c (15)
- total moment (μB/f.u.) = 0.000

Lattice parameters (Å, degrees): 5.8136 5.8136 9.4126 91.47 91.47 88.77
Closest atoms and distances in Å follow each position.
Fractional positions:
Sc: 0.0335 0.6137 0.1767  1 Ag 2.83, 1 Zn 2.88, 1 Sc 3.01
Sc: 0.1557 0.8443 0.7500  2 Ag 2.67, 1 Zn 2.76
Sc: 0.2447 0.4481 0.4951  2 Zn 2.79-2.81, 2 Sc 2.90-3.04, 1 Ag 3.00
Sc: 0.3863 0.9665 0.3233  1 Ag 2.83, 1 Zn 2.88, 1 Sc 3.01
Sc: 0.4481 0.2447 0.9951  2 Zn 2.79-2.81, 2 Sc 2.90-3.04, 1 Ag 3.00
Sc: 0.5519 0.7553 0.0049  2 Zn 2.79-2.81, 2 Sc 2.90-3.04, 1 Ag 3.00
Sc: 0.6137 0.0335 0.6767  1 Ag 2.83, 1 Zn 2.88, 1 Sc 3.01
Sc: 0.7553 0.5519 0.5049  2 Zn 2.79-2.81, 2 Sc 2.90-3.04, 1 Ag 3.00
Sc: 0.8443 0.1557 0.2500  2 Ag 2.67, 1 Zn 2.76
Sc: 0.9665 0.3863 0.8233  1 Ag 2.83, 1 Zn 2.88, 1 Sc 3.01
Zn: 0.4956 0.5044 0.7500  7 Sc 2.76-2.88
Zn: 0.5044 0.4956 0.2500  7 Sc 2.76-2.88
Ag: 0.0000 0.0000 0.0000  4 Sc 2.67-2.83
Ag: 0.0000 0.0000 0.5000  4 Sc 2.67-2.83